{"formula": "ScPtCl3", "functional": "PBE", "state": "relaxed", "cell": [[4.9439, 0.0000, 0.0000], [0.0000, 4.9439, 0.0000], [0.0000, 0.0000, 4.9439]], "species": ["Sc", "Pt", "Cl", "Cl", "Cl"], "fractional_positions": [[0.0000, 0.0000, 0.0000], [0.5000, 0.5000, 0.5000], [0.0000, 0.5000, 0.0000], [0.0000, 0.0000, 0.5000], [0.5000, 0.0000, 0.0000]], "raw_formation_energy_mev_per_atom": -599, "relative_energy_kj_per_mol_atoms": 0.0, "m_tot_mub_per_cell": 0.18, "spacegroup": "Pm-3m", "dft_energy_ev_per_atom": -4.182}